PtW2 | PBE-GGA | optimized geometry

Results
ΔE_f (meV/atom): 110
Electronic total energy (eV/atom): -10.539
Offset from the most stable computed form (meV/atom): 187
Calculated volume (Å³/f.u.): 49.8

abc: 6.2510 6.2510 5.0958
angles: 90.00 90.00 90.00
Last column: nearest neighbours and their distance in Å.
Space group I4/mcm (No. 140)
Inequivalent atoms, fractional coordinates:
Pt: 0.0000 0.0000 0.2500 [4 per cell]  2 Pt 2.55, 8 W 2.73
W: 0.1409 0.3591 0.0000 [8 per cell]  1 W 2.49, 4 Pt 2.73


Tb3NdEr2S6 | PBE-GGA | optimized geometry

Results
Electronic total energy (eV/atom): -6.373
Calculated volume (Å³/f.u.): 257.5
Uncorrected formation energy (eV/f.u.): -23.9

abc: 6.7999 11.8208 6.7992
angles: 90.00 109.53 90.00
Last column: nearest neighbours and their distance in Å.
Space group C2/m (No. 12)
Inequivalent atoms, fractional coordinates:
Tb: 0.0000 0.0000 0.0000 [2 per cell]  6 S 2.73-2.81
Tb: 0.0000 0.3389 0.0000 [4 per cell]  6 S 2.76-2.81
Nd: 0.0000 0.5000 0.5000 [2 per cell]  6 S 2.83-2.85
Er: 0.0000 0.1658 0.5000 [4 per cell]  6 S 2.73-2.76
S: 0.2378 0.0000 0.7472 [4 per cell]  3 Tb 2.73-2.78, 2 Er 2.73, 1 Nd 2.83
S: 0.2439 0.1725 0.2486 [8 per cell]  2 Er 2.75-2.76, 3 Tb 2.76-2.81, 1 Nd 2.85


Sr3TeBr | PBE-GGA | optimized geometry

Results
Electronic total energy (eV/atom): -2.614
Offset from the most stable computed form (meV/atom): 0
Calculated volume (Å³/f.u.): 255.6
Uncorrected formation energy (eV/f.u.): -3.2

abc: 6.3459 6.3459 6.3459
angles: 90.00 90.00 90.00
Last column: nearest neighbours and their distance in Å.
Space group Pm-3m (No. 221)
Inequivalent atoms, fractional coordinates:
Sr: 0.0000 0.0000 0.5000 [3 per cell]  2 Te 3.17
Te: 0.0000 0.0000 0.0000 [1 per cell]  6 Sr 3.17
Br: 0.5000 0.5000 0.5000 [1 per cell]  12 Sr 4.49


CaNiSb2 | PBE-GGA | optimized geometry

Results
Electronic total energy (eV/atom): -4.252
Calculated volume (Å³/f.u.): 93.3
Uncorrected formation energy (eV/f.u.): -1.0

abc: 4.2465 5.8366 7.5295
angles: 90.00 90.00 90.00
Last column: nearest neighbours and their distance in Å.
Space group Cmmm (No. 65)
Inequivalent atoms, fractional coordinates:
Ca: 0.0000 0.0000 0.0000 [2 per cell]  4 Sb 3.10
Ni: 0.0000 0.0000 0.5000 [2 per cell]  4 Sb 2.60
Sb: 0.0000 0.5000 0.2998 [4 per cell]  2 Ni 2.60


BaLi2Mg2 | PBE-GGA | optimized geometry

Results
ΔE_f (meV/atom): 68
Electronic total energy (eV/atom): -1.720
Offset from the most stable computed form (meV/atom): 49
Calculated volume (Å³/f.u.): 142.2

abc: 9.1474 9.1474 3.3982
angles: 90.00 90.00 90.00
Last column: nearest neighbours and their distance in Å.
Space group P4/mbm (No. 127)
Inequivalent atoms, fractional coordinates:
Ba: 0.0000 0.0000 0.0000 [2 per cell]  2 Ba 3.40, 4 Mg 3.64, 8 Li 3.80
Li: 0.1698 0.3302 0.5000 [4 per cell]  6 Mg 3.18-3.20, 2 Li 3.40
Mg: 0.1205 0.6205 0.0000 [4 per cell]  3 Mg 3.12-3.40, 6 Li 3.18-3.20


LaCeNpN4 | PBE-GGA | optimized geometry

Results
Electronic total energy (eV/atom): -9.367
Calculated volume (Å³/f.u.): 113.1
Uncorrected formation energy (eV/f.u.): -8.5

abc: 4.2154 4.2154 12.7242
angles: 90.00 90.00 90.00
Last column: nearest neighbours and their distance in Å.
Space group I4mm (No. 107)
Inequivalent atoms, fractional coordinates:
La: 0.0000 0.0000 0.0000 [2 per cell]  1 N 2.28
Ce: 0.0000 0.0000 0.7036 [2 per cell]  1 N 2.24
Np: 0.0000 0.0000 0.3495 [2 per cell]  6 N 2.11-2.27
N: 0.0000 0.0000 0.1793 [2 per cell]  1 Np 2.17, 1 La 2.28
N: 0.0000 0.0000 0.5277 [2 per cell]  1 Ce 2.24, 1 Np 2.27
N: 0.0000 0.5000 0.3451 [4 per cell]  2 Np 2.11


Mg2ZnSi | PBE-GGA | optimized geometry

Results
Electronic total energy (eV/atom): -2.432
Calculated volume (Å³/f.u.): 71.7
Uncorrected formation energy (eV/f.u.): 0.2

abc: 4.0850 4.0850 8.5958
angles: 90.00 90.00 90.00
Last column: nearest neighbours and their distance in Å.
Space group I-4m2 (No. 119)
Inequivalent atoms, fractional coordinates:
Mg: 0.0000 0.0000 0.0000 [2 per cell]  4 Zn 2.89, 4 Mg 2.96, 4 Si 2.96
Mg: 0.0000 0.5000 0.2500 [2 per cell]  4 Si 2.89, 4 Mg 2.96, 4 Zn 2.96
Zn: 0.0000 0.0000 0.5000 [2 per cell]  8 Mg 2.89-2.96, 4 Si 2.96
Si: 0.0000 0.5000 0.7500 [2 per cell]  8 Mg 2.89-2.96, 4 Zn 2.96


As2PRh | PBE-GGA | optimized geometry

Results
ΔE_f (meV/atom): 55
Electronic total energy (eV/atom): -5.460
Calculated volume (Å³/f.u.): 68.9

abc: 3.1507 3.1507 6.9429
angles: 90.00 90.00 90.00
Last column: nearest neighbours and their distance in Å.
Space group P4mm (No. 99)
Inequivalent atoms, fractional coordinates:
As: 0.0000 0.0000 0.0000 [1 per cell]  4 Rh 2.68, 1 P 2.83
As: 0.5000 0.5000 0.3914 [1 per cell]  4 P 2.63, 1 Rh 2.74
P: 0.0000 0.0000 0.5930 [1 per cell]  4 Rh 2.60, 5 As 2.63-2.83
Rh: 0.5000 0.5000 0.7862 [1 per cell]  4 P 2.60, 5 As 2.68-2.74